Below is a geometry-optimized ZnNiMoAs2 structure, with properties calculated at the PBE level.

Calculated values
For the density of states at the Fermi level, the calculation gives 2.943 states/eV per cell. Its total energy is -23.665 eV for the cell shown.

```
data_ZnNiMoAs2
_cell_length_a 4.565
_cell_length_b 4.565
_cell_length_c 4.436
_cell_angle_alpha 90.00
_cell_angle_beta 90.00
_cell_angle_gamma 90.00
_space_group_name_H-M_alt 'P 1'
_space_group_IT_number 1
loop_
_space_group_symop_operation_xyz
'x,y,z'
loop_
_atom_site_label
_atom_site_fract_x
_atom_site_fract_y
_atom_site_fract_z
Zn1 0.000 0.000 0.000
Ni1 0.000 0.000 0.500
Mo1 0.500 0.500 0.000
As1 0.000 0.500 0.500
As2 0.500 0.000 0.500
```